VASP calculation (GGA-PBE) on a relaxed BaLiPb crystal.

abc: 5.0897 5.0897 7.7562
angles: 90.00 90.00 90.00
Last column: nearest neighbours and their distance in Å.
Element x y z (fractional)
1 Ba 0.2500 0.2500 0.1788  4 Li 3.56, 6 Pb 3.73-3.99
2 Ba 0.7500 0.7500 0.8212  4 Li 3.56, 6 Pb 3.73-3.99
3 Li 0.2500 0.7500 0.5000  4 Pb 2.95
4 Li 0.7500 0.2500 0.5000  4 Pb 2.95
5 Pb 0.2500 0.2500 0.6929  4 Li 2.95
6 Pb 0.7500 0.7500 0.3071  4 Li 2.95

The calculation puts the density of states at the Fermi level at 5.348 states/eV/cell. The magnetization is 0.0 μB per formula unit. The formation energy comes out at -42.6 kJ/mol of atoms. The calculated volume comes out at 200.9 Å³/cell.


VASP calculation (GGA-PBE) on a relaxed BaLi2Pb2 crystal.

abc: 8.9558 8.9558 3.4201
angles: 90.00 90.00 90.00
Last column: nearest neighbours and their distance in Å.
Element x y z (fractional)
1 Ba 0.0000 0.0000 0.0000  2 Ba 3.42, 4 Li 3.58, 8 Pb 3.74
2 Ba 0.5000 0.5000 0.0000  2 Ba 3.42, 4 Li 3.58, 8 Pb 3.74
3 Li 0.1186 0.3814 0.0000  1 Li 3.00, 6 Pb 3.13-3.19
4 Li 0.3814 0.8814 0.0000  1 Li 3.00, 6 Pb 3.13-3.19
5 Li 0.6186 0.1186 0.0000  1 Li 3.00, 6 Pb 3.13-3.19
6 Li 0.8814 0.6186 0.0000  1 Li 3.00, 6 Pb 3.13-3.19
7 Pb 0.1691 0.6691 0.5000  6 Li 3.13-3.19, 2 Pb 3.42
8 Pb 0.3309 0.1691 0.5000  6 Li 3.13-3.19, 2 Pb 3.42
9 Pb 0.6691 0.8309 0.5000  6 Li 3.13-3.19, 2 Pb 3.42
10 Pb 0.8309 0.3309 0.5000  6 Li 3.13-3.19, 2 Pb 3.42

The calculation puts the density of states at the Fermi level at 4.520 states/eV/cell. The magnetization is 0.0 μB per formula unit. The formation energy comes out at -33.2 kJ/mol of atoms. The calculated volume comes out at 274.3 Å³/cell. The relative energy among the computed polymorphs comes out at 53 meV/atom.


VASP calculation (GGA-PBE) on a relaxed Ba2LiPb7 crystal.

abc: 5.0032 5.0032 14.2625
angles: 90.00 90.00 90.00
Last column: nearest neighbours and their distance in Å.
Element x y z (fractional)
1 Ba 0.0000 0.5000 0.2368  10 Pb 3.84-4.20, 2 Li 4.20
2 Ba 0.5000 0.0000 0.7632  10 Pb 3.84-4.20, 2 Li 4.20
3 Li 0.5000 0.5000 0.0000  4 Pb 3.13
4 Pb 0.0000 0.0000 0.0000  4 Pb 3.13
5 Pb 0.0000 0.0000 0.5000  8 Pb 3.30-3.54
6 Pb 0.0000 0.5000 0.6506  5 Pb 3.10-3.30
7 Pb 0.0000 0.5000 0.8678  3 Pb 3.10-3.13, 2 Li 3.13
8 Pb 0.5000 0.0000 0.1322  3 Pb 3.10-3.13, 2 Li 3.13
9 Pb 0.5000 0.0000 0.3494  5 Pb 3.10-3.30
10 Pb 0.5000 0.5000 0.5000  8 Pb 3.30-3.54

The calculation puts the density of states at the Fermi level at 5.874 states/eV/cell. The magnetization is 0.0 μB per formula unit. The formation energy comes out at -28.2 kJ/mol of atoms. The calculated volume comes out at 357.0 Å³/cell.


VASP calculation (GGA-PBE) on a relaxed Ba2Li2Pb crystal.

abc: 4.8632 4.8632 9.4408
angles: 90.00 90.00 120.00
Last column: nearest neighbours and their distance in Å.
Element x y z (fractional)
1 Ba 0.3333 0.6667 0.2072  4 Li 3.29-3.59
2 Ba 0.6667 0.3333 0.7928  4 Li 3.29-3.59
3 Li 0.3333 0.6667 0.5561  3 Pb 2.86, 3 Li 3.00
4 Li 0.6667 0.3333 0.4439  3 Pb 2.86, 3 Li 3.00
5 Pb 0.0000 0.0000 0.5000  6 Li 2.86

The calculation puts the density of states at the Fermi level at 3.051 states/eV/cell. The magnetization is 0.0 μB per formula unit. The formation energy comes out at -25.9 kJ/mol of atoms. The calculated volume comes out at 193.4 Å³/cell. The relative energy among the computed polymorphs comes out at 0 meV/atom.


VASP calculation (GGA-PBE) on a relaxed Ba2LiPb crystal.

abc: 11.4177 11.4177 11.4177
angles: 22.02 22.02 22.02
Last column: nearest neighbours and their distance in Å.
Element x y z (fractional)
1 Ba 0.2422 0.2422 0.2422  3 Pb 3.57, 3 Li 3.95
2 Ba 0.7578 0.7578 0.7578  3 Pb 3.57, 3 Li 3.95
3 Li 0.0000 0.0000 0.0000  6 Ba 3.95, 6 Li 4.36
4 Pb 0.5000 0.5000 0.5000  6 Ba 3.57

The calculation puts the density of states at the Fermi level at 3.879 states/eV/cell. The magnetization is 0.0 μB per formula unit. The formation energy comes out at -8.2 kJ/mol of atoms. The calculated volume comes out at 183.5 Å³/cell.


VASP calculation (GGA-PBE) on a relaxed BaLi4Pb crystal.

abc: 11.6059 11.6059 5.8226
angles: 90.00 90.00 154.73
Last column: nearest neighbours and their distance in Å.
Element x y z (fractional)
1 Ba 0.0951 0.9049 0.7500  6 Li 3.40-3.63
2 Ba 0.9049 0.0951 0.2500  6 Li 3.40-3.63
3 Li 0.1724 0.8276 0.2500  2 Pb 2.99, 6 Li 3.00-3.04
4 Li 0.2869 0.7131 0.5104  7 Li 2.79-3.04, 1 Pb 2.86
5 Li 0.2869 0.7131 0.9896  7 Li 2.79-3.04, 1 Pb 2.86
6 Li 0.5000 0.5000 0.0000  2 Pb 2.75, 2 Li 2.91
7 Li 0.5000 0.5000 0.5000  2 Pb 2.75, 2 Li 2.91
8 Li 0.7131 0.2869 0.0104  7 Li 2.79-3.04, 1 Pb 2.86
9 Li 0.7131 0.2869 0.4896  7 Li 2.79-3.04, 1 Pb 2.86
10 Li 0.8276 0.1724 0.7500  2 Pb 2.99, 6 Li 3.00-3.04
11 Pb 0.3971 0.6029 0.7500  6 Li 2.75-2.99
12 Pb 0.6029 0.3971 0.2500  6 Li 2.75-2.99

The calculation puts the density of states at the Fermi level at 4.423 states/eV/cell. The magnetization is 0.0 μB per formula unit. The formation energy comes out at -16.5 kJ/mol of atoms. The calculated volume comes out at 334.8 Å³/cell. The relative energy among the computed polymorphs comes out at 27 meV/atom.


VASP calculation (GGA-PBE) on a relaxed BaLiPb2 crystal.

abc: 6.2485 6.2485 3.5429
angles: 90.16 90.16 108.90
Last column: nearest neighbours and their distance in Å.
Element x y z (fractional)
1 Ba 0.0000 0.0000 0.0000  2 Ba 3.54, 8 Pb 3.59-3.60, 2 Li 3.63
2 Li 0.5000 0.5000 0.0000  2 Li 3.54, 8 Pb 3.59-3.60, 2 Ba 3.63
3 Pb 0.0000 0.5000 0.5000  4 Pb 3.54-3.63, 4 Li 3.59-3.60, 4 Ba 3.59-3.60
4 Pb 0.5000 0.0000 0.5000  4 Pb 3.54-3.63, 4 Li 3.59-3.60, 4 Ba 3.59-3.60

The calculation puts the density of states at the Fermi level at 1.735 states/eV/cell. The magnetization is 0.0 μB per formula unit. The formation energy comes out at -23.8 kJ/mol of atoms. The calculated volume comes out at 130.9 Å³/cell.


VASP calculation (GGA-PBE) on a relaxed Ba2LiPb crystal.

abc: 4.2629 4.3016 9.0175
angles: 90.00 90.00 90.00
Last column: nearest neighbours and their distance in Å.
Element x y z (fractional)
1 Ba 0.0000 0.0000 0.2359  4 Pb 3.70, 4 Li 3.85
2 Ba 0.0000 0.0000 0.7641  4 Pb 3.70, 4 Li 3.85
3 Li 0.5000 0.5000 0.5000  8 Ba 3.85, 4 Li 4.26-4.30
4 Pb 0.5000 0.5000 0.0000  8 Ba 3.70

The calculation puts the density of states at the Fermi level at 2.816 states/eV/cell. The magnetization is 0.0 μB per formula unit. The formation energy comes out at -26.9 kJ/mol of atoms. The calculated volume comes out at 165.4 Å³/cell.